(1)
Entry from OQMD: an optimized crystal structure of Hf2TcTe (GGA-PBE).

Unit cell a=6.7550 b=6.7550 c=6.7550 alpha=90.00 beta=90.00 gamma=90.00
Space group F-43m (No. 216)
One atom of each set of equivalent atoms:
Hf (0.0000, 0.0000, 0.0000) [4 per cell]
Hf (0.2500, 0.2500, 0.2500) [4 per cell]
Tc (0.0000, 0.0000, 0.5000) [4 per cell]
Te (0.2500, 0.2500, 0.7500) [4 per cell]

## Properties
The value obtained for the energy is -131.26 eV per cell.

(2)
Entry from OQMD: an optimized crystal structure of LiNbPdS3 (GGA-PBE).

Unit cell a=7.4750 b=3.4778 c=8.6088 alpha=90.00 beta=104.35 gamma=90.00
Space group P2_1/m (No. 11)
One atom of each set of equivalent atoms:
Li (0.1482, 0.2500, 0.1591) [2 per cell]
Nb (0.1991, 0.7500, 0.6744) [2 per cell]
Pd (0.4500, 0.2500, 0.8733) [2 per cell]
S (0.0610, 0.7500, 0.3555) [2 per cell]
S (0.2241, 0.7500, 0.9632) [2 per cell]
S (0.3891, 0.2500, 0.5955) [2 per cell]

## Properties
The value obtained for the energy is -69.51 eV per cell.

(3)
Entry from OQMD: an optimized crystal structure of SiTeIr (GGA-PBE).

Unit cell a=6.3864 b=6.3270 c=6.4018 alpha=90.00 beta=113.60 gamma=90.00
Space group P2_1/c (No. 14)
One atom of each set of equivalent atoms:
Si (0.1430, 0.1489, 0.3325) [4 per cell]
Te (0.3397, 0.6194, 0.6411) [4 per cell]
Ir (0.2115, 0.0156, 0.7053) [4 per cell]

## Properties
The value obtained for the energy is -75.68 eV per cell.

(4)
Entry from OQMD: an optimized crystal structure of Co2SbP (GGA-PBE).

Unit cell a=3.3920 b=5.6847 c=5.7567 alpha=90.00 beta=90.00 gamma=90.00
Space group Pmn2_1 (No. 31)
One atom of each set of equivalent atoms:
Co (0.0000, 0.2069, 0.0000) [2 per cell]
Co (0.0000, 0.7846, 0.1117) [2 per cell]
Sb (0.0000, 0.5478, 0.7223) [2 per cell]
P (0.0000, 0.0494, 0.3955) [2 per cell]

## Properties
The value obtained for the energy is -49.83 eV per cell. For the energy above the most stable polymorph in this dataset, the calculation gives 67 meV per atom.

(5)
Entry from OQMD: an optimized crystal structure of NdErMg6 (GGA-PBE).

Unit cell a=5.1854 b=7.4087 c=5.1863 alpha=90.00 beta=90.00 gamma=90.00
Space group Pmm2 (No. 25)
One atom of each set of equivalent atoms:
Nd (0.0000, 0.0000, 0.0000) [1 per cell]
Er (0.5000, 0.5000, 0.4926) [1 per cell]
Mg (0.0000, 0.2567, 0.5006) [2 per cell]
Mg (0.0000, 0.5000, 0.0000) [1 per cell]
Mg (0.5000, 0.0000, 0.4942) [1 per cell]
Mg (0.5000, 0.2567, 0.9924) [2 per cell]

## Properties
The value obtained for the energy is -19.29 eV per cell.

(6)
Entry from OQMD: an optimized crystal structure of ScCoPtPb (GGA-PBE).

Unit cell a=6.5346 b=6.5346 c=6.5346 alpha=90.00 beta=90.00 gamma=90.00
Space group F-43m (No. 216)
One atom of each set of equivalent atoms:
Sc (0.0000, 0.0000, 0.0000) [4 per cell]
Co (0.2500, 0.2500, 0.7500) [4 per cell]
Pt (0.2500, 0.2500, 0.2500) [4 per cell]
Pb (0.0000, 0.0000, 0.5000) [4 per cell]

## Properties
The value obtained for the energy is -98.17 eV per cell. For the energy above the most stable polymorph in this dataset, the calculation gives 0 meV per atom.

(7)
Entry from OQMD: an optimized crystal structure of KYFeSe3 (GGA-PBE).

Unit cell a=9.9690 b=4.1796 c=15.3059 alpha=90.00 beta=90.00 gamma=90.00
Space group Pnma (No. 62)
One atom of each set of equivalent atoms:
K (0.0356, 0.2500, 0.1746) [4 per cell]
Y (0.1685, 0.7500, 0.4406) [4 per cell]
Fe (0.1546, 0.2500, 0.6291) [4 per cell]
Se (0.0225, 0.7500, 0.6077) [4 per cell]
Se (0.1737, 0.7500, 0.0171) [4 per cell]
Se (0.2221, 0.2500, 0.7759) [4 per cell]

## Properties
The value obtained for the energy is -132.72 eV per cell. For the energy above the most stable polymorph in this dataset, the calculation gives 81 meV per atom.

(8)
Entry from OQMD: an optimized crystal structure of Dy3In2PdPt2Pb (GGA-PBE).

Unit cell a=3.8527 b=13.3323 c=7.7896 alpha=90.00 beta=90.00 gamma=90.00
Space group Amm2 (No. 38)
One atom of each set of equivalent atoms:
Dy (0.0000, 0.0000, 0.0000) [2 per cell]
Dy (0.0000, 0.2075, 0.3898) [4 per cell]
In (0.5000, 0.1297, 0.7252) [4 per cell]
Pd (0.0000, 0.0000, 0.6006) [2 per cell]
Pt (0.5000, 0.1699, 0.0884) [4 per cell]
Pb (0.5000, 0.0000, 0.3332) [2 per cell]

## Properties
The value obtained for the energy is -97.15 eV per cell.